Arrangement i

Computed, not measured: a relaxed structure of Nd3Sm2Sn4 at the PBE level of DFT.

The structure belongs to space group C2/m (No. 12); the cell edges are 11.549, 4.929 and 10.232 Å and the angles 90.00°, 98.06° and 90.00°. The distinct sites, in fractional coordinates, are Nd at (0.000, 0.000, 0.000), Nd at (0.125, 0.500, 0.419), Sm at (0.175, 0.500, 0.816), Sn at (0.091, 0.000, 0.629) and Sn at (0.148, 0.500, 0.119).

=====

Arrangement ii

Computed, not measured: a relaxed structure of Nd3Sm2Sn4 at the PBE level of DFT.

The structure belongs to space group P2_1/c (No. 14); the cell edges are 8.498, 8.509 and 8.165 Å and the angles 90.00°, 110.54° and 90.00°. The distinct sites, in fractional coordinates, are Nd at (0.000, 0.000, 0.000), Nd at (0.306, 0.181, 0.435), Sm at (0.255, 0.670, 0.262), Sn at (0.014, 0.133, 0.633) and Sn at (0.420, 0.537, 0.664).

=====

Most stable structure, least stable structure: arrangement ii, arrangement i.

=====

Arrangement i

Computed, not measured: a relaxed structure of NdSm2Sn2 at the PBE level of DFT.

The structure belongs to space group Cmcm (No. 63); the cell edges are 6.666, 16.817 and 5.649 Å and the angles 90.00°, 90.00° and 90.00°. The distinct sites, in fractional coordinates, are Nd at (0.000, 0.000, 0.000), Sm at (0.000, 0.202, 0.250), Sm at (0.000, 0.424, 0.750) and Sn at (0.233, 0.364, 0.250).

=====

Arrangement ii

Computed, not measured: a relaxed structure of NdSm2Sn2 at the PBE level of DFT.

The structure belongs to space group P6_3/mmc (No. 194); the cell edges are 5.1861, 5.1861 and 13.1088 Å and the angles 90.00°, 90.00° and 120.00°. The distinct sites, in fractional coordinates, are Nd at (0.0000, 0.0000, 0.2500), Sm at (0.0000, 0.0000, 0.0000), Sm at (0.3333, 0.6667, 0.2500) and Sn at (0.3333, 0.6667, 0.6275).

=====

Most stable structure, least stable structure: arrangement i, arrangement ii.

=====

Arrangement i

Computed, not measured: a relaxed structure of NdSmTlSn at the PBE level of DFT.

The structure belongs to space group F-43m (No. 216); the cell edges are 7.747, 7.747 and 7.747 Å and the angles 90.00°, 90.00° and 90.00°. The distinct sites, in fractional coordinates, are Nd at (0.000, 0.000, 0.000), Sm at (0.000, 0.000, 0.500), Tl at (0.250, 0.250, 0.250) and Sn at (0.250, 0.250, 0.750).

=====

Arrangement ii

Computed, not measured: a relaxed structure of NdSmTlSn at the PBE level of DFT.

The structure belongs to space group Amm2 (No. 38); the cell edges are 4.423, 4.678 and 11.766 Å and the angles 90.00°, 90.00° and 90.00°. The distinct sites, in fractional coordinates, are Nd at (0.000, 0.000, 0.000), Sm at (0.500, 0.000, 0.728), Tl at (0.500, 0.000, 0.454) and Sn at (0.000, 0.000, 0.276).

=====

Most stable structure, least stable structure: arrangement ii, arrangement i.

=====

Arrangement i

Computed, not measured: a relaxed structure of SrNdSm2 at the PBE level of DFT.

The structure belongs to space group P4/mmm (No. 123); the cell edges are 3.748, 3.748 and 10.817 Å and the angles 90.00°, 90.00° and 90.00°. The distinct sites, in fractional coordinates, are Sr at (0.000, 0.000, 0.000), Nd at (0.000, 0.000, 0.500) and Sm at (0.500, 0.500, 0.275).

=====

Arrangement ii

Computed, not measured: a relaxed structure of SrNdSm2 at the PBE level of DFT.

The structure belongs to space group Fm-3m (No. 225); the cell edges are 8.447, 8.447 and 8.447 Å and the angles 90.00°, 90.00° and 90.00°. The distinct sites, in fractional coordinates, are Sr at (0.000, 0.000, 0.000), Nd at (0.000, 0.000, 0.500) and Sm at (0.250, 0.250, 0.250).

=====

Arrangement iii

Computed, not measured: a relaxed structure of SrNdSm2 at the PBE level of DFT.

The structure belongs to space group R-3m (No. 166, hexagonal axes); the cell edges are 3.6814, 3.6814 and 39.1525 Å and the angles 90.00°, 90.00° and 120.00°. The distinct sites, in fractional coordinates, are Sr at (0.0000, 0.0000, 0.0000), Nd at (0.0000, 0.0000, 0.5000) and Sm at (0.0000, 0.0000, 0.0920).

=====

Arrangement iv

Computed, not measured: a relaxed structure of SrNdSm2 at the PBE level of DFT.

The structure belongs to space group P4/mmm (No. 123); the cell edges are 5.304, 5.304 and 5.309 Å and the angles 90.00°, 90.00° and 90.00°. The distinct sites, in fractional coordinates, are Sr at (0.000, 0.000, 0.000), Nd at (0.500, 0.500, 0.000) and Sm at (0.000, 0.500, 0.500).

=====

Most stable structure, least stable structure: arrangement i, arrangement ii.